Density functional theory data (PBE) for crystalline ScCrI2 at its relaxed geometry.

Results
- Fermi-level density of states (states/eV/cell) = 2.600
- energy relative to the elements, uncorrected (eV/atom) = 0.07
- energy (Ha/atom) = -0.17238
- ΔE to the lowest computed polymorph (meV/atom) = 0

Lattice parameters (Å, degrees): 5.1554 5.1554 5.1554 60.00 60.00 60.00
Site moments in Bohr magnetons follow the coordinates.
Atoms (fractional coordinates):
1 I 0.7500 0.7500 0.7500  0.02
2 I 0.2500 0.2500 0.2500  0.02
3 Cr 0.5000 0.5000 0.5000  3.76
4 Sc 0.0000 0.0000 0.0000  -0.71


Density functional theory data (PBE) for crystalline BaTcIr2 at its relaxed geometry.

Results
- energy relative to the elements (meV/atom) = 965
- Fermi-level density of states (states/eV/cell) = 7.403
- energy (Ha/atom) = -0.24026
- ΔE to the lowest computed polymorph (meV/atom) = 870

Lattice parameters (Å, degrees): 5.1646 5.1646 2.9376 90.00 90.00 90.00
Site moments in Bohr magnetons follow the coordinates.
Atoms (fractional coordinates):
1 Ba 0.0000 0.5000 0.5000  -0.01
2 Tc 0.5000 0.0000 0.5000  0.85
3 Ir 0.5000 0.5000 0.0000  0.13
4 Ir 0.0000 0.0000 0.0000  0.13


Among the records above, which one has the highest Fermi-level density of states?
BaTcIr2